(1)
12
Lattice="-1.8308 -2.1561 6.6184 1.3300 -4.8528 -5.1464 6.8887 2.2500 1.3350" Properties=species:S:1:pos:R:3 comment="La3Tb2TmSe6 | Alexandria | PBE | relaxed" m_tot_mub_per_fu=0.0 e_tot_ev_per_atom=-5.996 volume_a3_per_atom=26.0 e_form_raw_ev_per_atom=-1.88 pbc="T T T"
Tb 0.2763 -3.9539 -1.2245
Tb -0.7771 -3.0551 2.6965
Se 5.4473 -4.0324 0.2146
Se 4.4091 -3.1466 4.0790
Se 1.9788 -1.6124 -1.2720
Se 0.9406 -0.7266 2.5924
Se 1.2214 -4.7269 1.4116
Se 5.1665 -0.0321 1.3954
La 4.2396 -3.2716 -2.4885
La 2.1483 -1.4874 5.2955
La 3.1940 -2.3795 1.4035
Tm 0.0000 0.0000 0.0000

---

(2)
4
Lattice="3.6354 0.0000 0.0000 -1.8177 3.1483 0.0000 0.0000 0.0000 11.7933" Properties=species:S:1:pos:R:3 comment="LaNdYEr | Alexandria | PBE | relaxed" m_tot_mub_per_fu=0.0 polymorph_energy_mev_per_atom=0 e_tot_ev_per_atom=-5.164 e_form_ev_per_atom=0.017 volume_a3_per_atom=33.7 pbc="T T T"
Er 1.8177 1.0494 8.0399
Y 0.0000 2.0989 10.8567
La 0.0000 0.0000 5.0661
Nd 1.8177 1.0494 1.9751

---

(3)
7
Lattice="-3.1155 2.4232 1.6077 -2.1298 -3.5056 1.1566 3.8425 0.0817 7.3234" Properties=species:S:1:pos:R:3 comment="Pa2TcGe4 | Alexandria | PBE | relaxed" m_tot_mub_per_fu=0.0 e_tot_ev_per_atom=-7.008 e_form_ev_per_atom=-0.175 volume_a3_per_atom=21.5 pbc="T T T"
Ge 1.9213 0.0408 3.6617
Ge -0.7014 -0.5004 5.0438
Ge -0.9311 1.2249 1.9981
Ge 2.1510 -1.6845 6.7074
Pa 1.3826 1.2741 6.4078
Pa -0.1627 -1.7336 2.2978
Tc -2.6226 -0.5412 1.3821